# LiPmZn2Ag4 (GGA-PBE, relaxed)
data_LiPmZn2Ag4
_symmetry_space_group_name_H-M 'P 1'
_symmetry_Int_Tables_number 1
_symmetry_space_group_name_Hall 'P 1'
_cell_length_a 4.595
_cell_length_b 4.595
_cell_length_c 8.636
_cell_angle_alpha 74.57
_cell_angle_beta 74.57
_cell_angle_gamma 60.00
loop_
_atom_site_label
_atom_site_type_symbol
_atom_site_fract_x
_atom_site_fract_y
_atom_site_fract_z
Pm1 Pm 0.000 0.000 0.000
Ag1 Ag 0.398 0.398 0.806
Ag2 Ag 0.869 0.869 0.393
Ag3 Ag 0.602 0.602 0.194
Ag4 Ag 0.131 0.131 0.607
Li1 Li 0.500 0.500 0.500
Zn1 Zn 0.753 0.753 0.741
Zn2 Zn 0.247 0.247 0.259
# crystal system: trigonal
# energy: -2.770 eV/atom
# mass density: 7.89 g/cm³
# ΔH_f (0 K): -1.54 eV/f.u.
# magnetic moment: 0.0 Bohr magnetons per cell